Record 1
Density functional theory data (PBE-GGA) for a relaxed Cd6InAg2 crystal.

## Properties
Energy relative to the elements (eV/f.u.): 0.17
V (Å³/cell): 199.22
Electronic total energy (eV/atom): -1.529
Crystal system: hexagonal
Magnetic moment (μB/f.u.): 0.00
Offset from the most stable computed form (eV/atom): 0.017

Cell and atoms, written as POSCAR:
```
Cd6InAg2
1.0
3.202 0.000 0.000
-1.601 2.773 0.000
0.000 0.000 22.435
Cd In Ag
6 1 2
Cartesian
0.000 0.000 1.454
0.000 0.000 6.021
0.000 0.000 16.414
0.000 0.000 20.981
0.000 1.849 8.539
0.000 1.849 13.895
0.000 0.000 11.217
0.000 1.849 3.745
0.000 1.849 18.690
```



Record 2
Density functional theory data (PBE-GGA) for a relaxed CeFeSi crystal.

## Properties
V (Å³/cell): 56.27
Electronic total energy (eV/atom): -7.048
Crystal system: hexagonal
Magnetic moment (μB/f.u.): 1.23
Raw formation energy (eV per atom): -0.44

Cell and atoms, written as POSCAR:
```
CeFeSi
1.0
4.113 0.000 0.000
-2.056 3.562 0.000
0.000 0.000 3.841
Ce Fe Si
1 1 1
Cartesian
0.000 0.000 0.000
2.056 1.187 1.921
0.000 2.374 1.921
```



Record 3
Density functional theory data (PBE-GGA) for a relaxed CaPm8Tm6 crystal.

## Properties
Energy relative to the elements (eV/f.u.): 2.75
V (Å³/cell): 489.21
Electronic total energy (eV/atom): -4.272
Crystal system: trigonal
Magnetic moment (μB/f.u.): 0.00

Cell and atoms, written as POSCAR:
```
CaPm8Tm6
1.0
4.844 2.796 6.020
-4.844 2.796 6.020
0.000 -5.593 6.020
Ca Pm Tm
1 8 6
Cartesian
0.000 0.000 0.000
-1.590 -3.612 7.785
-3.923 -0.429 10.274
0.000 0.000 4.347
-2.333 3.183 7.785
2.333 -3.183 10.274
0.000 0.000 13.712
3.923 0.429 7.785
1.590 3.612 10.274
-2.127 -0.226 7.413
-0.868 -1.955 10.646
1.259 -1.729 7.413
-1.259 1.729 10.646
0.868 1.955 7.413
2.127 0.226 10.646
```



Record 4
Density functional theory data (PBE-GGA) for a relaxed P3Cl crystal.

## Properties
V (Å³/cell): 175.20
Electronic total energy (eV/atom): -4.087
Crystal system: tetragonal
Magnetic moment (μB/f.u.): 0.00
Raw formation energy (eV per atom): 0.43
Offset from the most stable computed form (eV/atom): 0.215

Cell and atoms, written as POSCAR:
```
P3Cl
1.0
-1.753 1.753 14.256
1.753 -1.753 14.256
1.753 1.753 -14.256
P Cl
6 2
Cartesian
1.753 0.000 0.000
0.000 0.000 1.683
1.753 0.000 7.128
0.000 1.753 0.000
0.000 1.753 7.128
0.000 0.000 26.830
0.000 0.000 11.268
0.000 0.000 17.245
```



Record 5
Density functional theory data (PBE-GGA) for a relaxed PrCuHgRh crystal.

## Properties
Energy relative to the elements (eV/f.u.): -0.86
V (Å³/cell): 80.62
Electronic total energy (eV/atom): -4.346
Crystal system: cubic
Magnetic moment (μB/f.u.): 0.00

Cell and atoms, written as POSCAR:
```
PrCuHgRh
1.0
0.000 3.429 3.429
3.429 0.000 3.429
3.429 3.429 0.000
Pr Cu Hg Rh
1 1 1 1
Cartesian
0.000 0.000 0.000
1.714 1.714 1.714
3.429 3.429 3.429
5.143 5.143 5.143
```



Record 6
Density functional theory data (PBE-GGA) for a relaxed Rb4Cd3CuCl12 crystal.

## Properties
V (Å³/cell): 561.77
Electronic total energy (eV/atom): -2.971
Crystal system: cubic
Magnetic moment (μB/f.u.): 1.04
Raw formation energy (eV per atom): -1.33

Cell and atoms, written as POSCAR:
```
Rb4Cd3CuCl12
1.0
-5.198 5.198 5.198
5.198 -5.198 5.198
5.198 5.198 -5.198
Rb Cd Cu Cl
4 3 1 12
Cartesian
2.599 2.599 -2.599
2.599 -2.599 2.599
-2.599 2.599 2.599
2.599 2.599 2.599
5.198 0.000 0.000
0.000 5.198 0.000
0.000 0.000 5.198
0.000 0.000 0.000
2.495 0.000 0.000
7.900 0.000 0.000
0.000 2.495 0.000
0.000 0.000 2.495
5.198 2.599 0.000
5.198 0.000 2.599
2.599 5.198 0.000
2.599 0.000 5.198
0.000 5.198 2.599
0.000 2.599 5.198
0.000 7.900 0.000
0.000 0.000 7.900
```



Record 7
Density functional theory data (PBE-GGA) for a relaxed MnTlTc2Sb crystal.

## Properties
V (Å³/cell): 129.50
Electronic total energy (eV/atom): -5.406
Crystal system: tetragonal
Magnetic moment (μB/f.u.): 9.55
Raw formation energy (eV per atom): 1.87

Cell and atoms, written as POSCAR:
```
MnTlTc2Sb
1.0
5.129 0.000 0.000
0.000 5.129 0.000
0.000 0.000 4.923
Mn Tl Tc Sb
1 1 2 1
Cartesian
0.000 0.000 0.000
0.000 0.000 2.461
0.000 2.564 2.461
2.564 0.000 2.461
2.564 2.564 0.000
```



Record 8
Density functional theory data (PBE-GGA) for a relaxed Sm2Y6Er2Th crystal.

## Properties
Energy relative to the elements (eV/f.u.): 1.61
V (Å³/cell): 363.99
Electronic total energy (eV/atom): -5.742
Crystal system: orthorhombic
Magnetic moment (μB/f.u.): 0.00

Cell and atoms, written as POSCAR:
```
Sm2Y6Er2Th
1.0
2.844 -5.996 0.000
2.844 5.996 0.000
0.000 0.000 10.672
Sm Y Er Th
2 6 2 1
Cartesian
2.844 4.355 0.000
2.844 -4.355 0.000
0.000 0.000 3.088
0.000 0.000 7.584
2.844 1.831 2.285
2.844 1.831 8.387
2.844 -1.831 2.285
2.844 -1.831 8.387
2.844 3.592 5.336
2.844 -3.592 5.336
2.844 0.000 5.336
```



Record 9
Density functional theory data (PBE-GGA) for a relaxed Mg2ZrAl crystal.

## Properties
Energy relative to the elements (eV/f.u.): -0.10
V (Å³/cell): 82.77
Electronic total energy (eV/atom): -3.895
Crystal system: monoclinic
Magnetic moment (μB/f.u.): 0.00

Cell and atoms, written as POSCAR:
```
Mg2ZrAl
1.0
3.051 0.000 0.000
0.000 4.888 0.000
-0.887 0.000 5.551
Mg Zr Al
2 1 1
Cartesian
0.270 0.000 1.415
1.894 0.000 4.136
1.526 2.444 0.000
-0.444 2.444 2.775
```



Record 10
Density functional theory data (PBE-GGA) for a relaxed LiAg2 crystal.

## Properties
Energy relative to the elements (eV/f.u.): -0.22
V (Å³/cell): 476.01
Electronic total energy (eV/atom): -2.613
Crystal system: hexagonal
Magnetic moment (μB/f.u.): 0.00
Offset from the most stable computed form (eV/atom): 0.086

Cell and atoms, written as POSCAR:
```
LiAg2
1.0
5.500 0.000 0.000
-2.750 4.763 0.000
0.000 0.000 18.170
Li Ag
8 16
Cartesian
0.000 0.000 1.732
0.000 0.000 7.353
0.000 0.000 10.817
0.000 0.000 16.438
0.000 3.175 2.834
0.000 3.175 6.251
2.750 1.588 11.919
2.750 1.588 15.336
-1.375 2.382 0.000
-1.375 2.382 9.085
0.000 1.563 13.628
-1.396 3.982 13.628
1.354 0.782 4.543
0.000 3.175 11.356
0.000 3.175 15.899
2.750 0.000 0.000
2.750 0.000 9.085
1.375 2.382 0.000
1.375 2.382 9.085
2.750 1.588 2.271
2.750 1.588 6.814
1.396 3.982 13.628
4.146 0.782 4.543
2.750 3.200 4.543
```



Record 11
Density functional theory data (PBE-GGA) for a relaxed CaLaZr2 crystal.

## Properties
Energy relative to the elements (eV/f.u.): 1.24
V (Å³/cell): 114.79
Electronic total energy (eV/atom): -5.697
Crystal system: monoclinic
Magnetic moment (μB/f.u.): 0.00
Offset from the most stable computed form (eV/atom): 0.144

Cell and atoms, written as POSCAR:
```
CaLaZr2
1.0
5.742 -1.685 0.000
5.742 1.685 0.000
-0.991 0.000 5.933
Ca La Zr
1 1 2
Cartesian
0.000 0.000 0.000
5.247 0.000 2.966
2.126 0.000 4.299
8.368 0.000 1.633
```



Record 12
Density functional theory data (PBE-GGA) for a relaxed Zn3Cu2Ir crystal.

## Properties
Energy relative to the elements (eV/f.u.): -0.03
V (Å³/cell): 171.39
Electronic total energy (eV/atom): -3.485
Crystal system: monoclinic
Magnetic moment (μB/f.u.): 0.00
Offset from the most stable computed form (eV/atom): 0.034

Cell and atoms, written as POSCAR:
```
Zn3Cu2Ir
1.0
8.608 -1.373 0.000
8.608 1.373 0.000
-2.553 0.000 7.252
Zn Cu Ir
6 4 2
Cartesian
-0.096 0.000 3.054
1.562 0.000 5.100
6.929 0.000 1.445
7.735 0.000 5.807
13.102 0.000 2.152
14.760 0.000 4.198
2.390 0.000 2.752
5.063 0.000 6.167
9.600 0.000 1.085
12.274 0.000 4.500
3.155 0.000 0.249
11.508 0.000 7.002
```